# 1
# NiI3F, relaxed, DFT PBE with a Hubbard U
data_NiI3F
_chemical_formula_sum 'Ni1 I3 F1'
_cell_length_a 5.293
_cell_length_b 5.293
_cell_length_c 5.293
_cell_angle_alpha 90.00
_cell_angle_beta 90.00
_cell_angle_gamma 90.00
_space_group_name_H-M_alt 'P 1'
_space_group_IT_number 1
loop_
_space_group_symop_operation_xyz
'x,y,z'
loop_
_atom_site_label
_atom_site_type_symbol
_atom_site_fract_x
_atom_site_fract_y
_atom_site_fract_z
_atom_site_occupancy
Ni1 Ni 0.000 0.000 0.000 1
I1 I 0.000 0.500 0.500 1
I2 I 0.500 0.000 0.500 1
I3 I 0.500 0.500 0.000 1
F1 F 0.500 0.500 0.500 1
# DOS(E_F) = 18.132 states/eV/cell
# Energy above the most stable polymorph in this dataset = 525 meV per atom
# Electronic total energy = -1.01 eV/atom
# Size of the total moment = 1.112 Bohr magnetons per cell
# V = 148 Å³/cell

---

# 2
# NiIF2, relaxed, DFT PBE with a Hubbard U
data_NiIF2
_chemical_formula_sum 'Ni1 I1 F2'
_cell_length_a 4.485
_cell_length_b 4.485
_cell_length_c 4.485
_cell_angle_alpha 60.00
_cell_angle_beta 60.00
_cell_angle_gamma 60.00
_space_group_name_H-M_alt 'P 1'
_space_group_IT_number 1
loop_
_space_group_symop_operation_xyz
'x,y,z'
loop_
_atom_site_label
_atom_site_type_symbol
_atom_site_fract_x
_atom_site_fract_y
_atom_site_fract_z
_atom_site_occupancy
Ni1 Ni 0.000 0.000 0.000 1
I1 I 0.500 0.500 0.500 1
F1 F 0.250 0.250 0.250 1
F2 F 0.750 0.750 0.750 1
# DOS(E_F) = 2.809 states/eV/cell
# Energy above the most stable polymorph in this dataset = 1205 meV per atom
# Electronic total energy = -2.23 eV/atom
# Size of the total moment = 1.057 Bohr magnetons per cell
# V = 64 Å³/cell

---

# 3
# NiIF2, relaxed, DFT PBE with a Hubbard U
data_NiIF2
_chemical_formula_sum 'Ni2 I2 F4'
_cell_length_a 6.453
_cell_length_b 6.453
_cell_length_c 6.453
_cell_angle_alpha 125.75
_cell_angle_beta 125.75
_cell_angle_gamma 80.29
_space_group_name_H-M_alt 'P 1'
_space_group_IT_number 1
loop_
_space_group_symop_operation_xyz
'x,y,z'
loop_
_atom_site_label
_atom_site_type_symbol
_atom_site_fract_x
_atom_site_fract_y
_atom_site_fract_z
_atom_site_occupancy
Ni1 Ni 0.375 0.625 0.750 1
Ni2 Ni 0.625 0.375 0.250 1
I1 I 0.125 0.875 0.250 1
I2 I 0.875 0.125 0.750 1
F1 F 0.000 0.500 0.500 1
F2 F 0.500 0.000 0.000 1
F3 F 0.500 0.500 0.000 1
F4 F 0.500 0.500 0.500 1
# DOS(E_F) = 3.375 states/eV/cell
# Energy above the most stable polymorph in this dataset = 318 meV per atom
# Electronic total energy = -3.12 eV/atom
# Size of the total moment = 6.000 Bohr magnetons per cell
# V = 171 Å³/cell

---

# 4
# NiIF2, relaxed, DFT PBE with a Hubbard U
data_NiIF2
_chemical_formula_sum 'Ni1 I1 F2'
_cell_length_a 9.912
_cell_length_b 9.912
_cell_length_c 9.912
_cell_angle_alpha 19.53
_cell_angle_beta 19.53
_cell_angle_gamma 19.53
_space_group_name_H-M_alt 'P 1'
_space_group_IT_number 1
loop_
_space_group_symop_operation_xyz
'x,y,z'
loop_
_atom_site_label
_atom_site_type_symbol
_atom_site_fract_x
_atom_site_fract_y
_atom_site_fract_z
_atom_site_occupancy
Ni1 Ni 0.000 0.000 0.000 1
I1 I 0.500 0.500 0.500 1
F1 F 0.059 0.059 0.059 1
F2 F 0.941 0.941 0.941 1
# DOS(E_F) = 2.810 states/eV/cell
# Energy above the most stable polymorph in this dataset = 692 meV per atom
# Electronic total energy = -2.75 eV/atom
# Size of the total moment = 1.930 Bohr magnetons per cell
# V = 95 Å³/cell

---

# 5
# NiIF, relaxed, DFT PBE with a Hubbard U
data_NiIF
_chemical_formula_sum 'Ni4 I4 F4'
_cell_length_a 9.865
_cell_length_b 3.691
_cell_length_c 7.104
_cell_angle_alpha 90.00
_cell_angle_beta 90.00
_cell_angle_gamma 90.00
_space_group_name_H-M_alt 'P 1'
_space_group_IT_number 1
loop_
_space_group_symop_operation_xyz
'x,y,z'
loop_
_atom_site_label
_atom_site_type_symbol
_atom_site_fract_x
_atom_site_fract_y
_atom_site_fract_z
_atom_site_occupancy
Ni1 Ni 0.124 0.250 0.076 1
Ni2 Ni 0.376 0.750 0.576 1
Ni3 Ni 0.624 0.250 0.424 1
Ni4 Ni 0.876 0.750 0.924 1
I1 I 0.194 0.250 0.452 1
I2 I 0.306 0.750 0.952 1
I3 I 0.694 0.250 0.048 1
I4 I 0.806 0.750 0.548 1
F1 F 0.010 0.750 0.135 1
F2 F 0.490 0.250 0.635 1
F3 F 0.510 0.750 0.365 1
F4 F 0.990 0.250 0.865 1
# Electronic total energy = -3.05 eV/atom
# Size of the total moment = 8.000 Bohr magnetons per cell
# V = 259 Å³/cell

---

# 6
# NiIOF2, relaxed, DFT PBE with a Hubbard U
data_NiIOF2
_chemical_formula_sum 'Ni1 I1 O1 F2'
_cell_length_a 4.827
_cell_length_b 4.827
_cell_length_c 4.036
_cell_angle_alpha 90.00
_cell_angle_beta 90.00
_cell_angle_gamma 90.00
_space_group_name_H-M_alt 'P 1'
_space_group_IT_number 1
loop_
_space_group_symop_operation_xyz
'x,y,z'
loop_
_atom_site_label
_atom_site_type_symbol
_atom_site_fract_x
_atom_site_fract_y
_atom_site_fract_z
_atom_site_occupancy
Ni1 Ni 0.000 0.000 0.000 1
I1 I 0.500 0.500 0.500 1
O1 O 0.500 0.500 0.000 1
F1 F 0.000 0.500 0.500 1
F2 F 0.500 0.000 0.500 1
# DOS(E_F) = 6.534 states/eV/cell
# Energy above the most stable polymorph in this dataset = 902 meV per atom
# Electronic total energy = -2.49 eV/atom
# Size of the total moment = 1.691 Bohr magnetons per cell
# V = 94 Å³/cell